Computed, not measured: a relaxed Dy2TmTe crystal at the PBE level of DFT.

The crystal system is tetragonal. The calculation puts the magnetization at 0.000 μB per formula unit. Its final energy is -4.75 eV per atom. As for the energy above the most stable polymorph in this dataset: 0.089 eV/atom.

The space group is P4/mmm (No. 123) and the conventional cell measures 3.8627, 3.8627 and 7.7357 Å, with angles of 90.00, 90.00 and 90.00 degrees. The distinct sites, in fractional coordinates, are Dy at (0.0000, 0.0000, 0.2282), Tm at (0.5000, 0.5000, 0.5000) and Te at (0.5000, 0.5000, 0.0000).